P) The following is a PBE calculation of an optimized crystal structure of LaHfAsSe2, from Alexandria via LeMat-Bulk.

Cell lengths 5.5246, 5.5246, 5.5797 Å; angles 90.00, 90.00, 90.00 degrees
With the nearest neighbours (Å) after each atom.
Atoms (fractional coordinates):
As  0.0000  0.0000  0.5000  2 La 2.79
Hf  0.5000  0.5000  0.5000  4 As 3.91, 8 Se 3.93
Se  0.0000  0.5000  0.0000  2 La 2.76
Se  0.5000  0.0000  0.0000  2 La 2.76
La  0.0000  0.0000  0.0000  4 Se 2.76, 2 As 2.79

Values from the calculation:
space-group type: P4/mmm
total magnetic moment: 0.01 μB per atom

=====

Q) The following is a PBE calculation of an optimized crystal structure of LaHfAsSe2, from Alexandria via LeMat-Bulk.

Cell lengths 5.1004, 5.1004, 5.2142 Å; angles 90.00, 90.00, 90.00 degrees
With the nearest neighbours (Å) after each atom.
Atoms (fractional coordinates):
As  0.0000  0.0000  0.5000  2 Hf 2.61
Hf  0.0000  0.0000  0.0000  4 Se 2.55, 2 As 2.61
Se  0.0000  0.5000  0.0000  2 Hf 2.55
Se  0.5000  0.0000  0.0000  2 Hf 2.55
La  0.5000  0.5000  0.5000  4 As 3.61, 8 Se 3.65

Values from the calculation:
space-group type: P4/mmm
total magnetic moment: 0.00 μB per atom

=====

The structure with the most favorable energy is Q); the runner-up is 1474 meV/atom above it.

=====

P) The following is a PBE calculation of an optimized crystal structure of TaIr2Cl, from Alexandria via LeMat-Bulk.

Cell lengths 5.1028, 5.1028, 7.1104 Å; angles 75.67, 75.67, 34.14 degrees
With the nearest neighbours (Å) after each atom.
Atoms (fractional coordinates):
Cl  0.9255  0.9255  0.7047  2 Ta 2.50
Ir  0.9055  0.9055  0.1807  2 Ta 2.52, 3 Ir 2.65-2.70
Ir  0.1782  0.1782  0.2016  2 Ta 2.53, 3 Ir 2.65-2.70
Ta  0.4908  0.4908  0.4130  2 Cl 2.50, 4 Ir 2.52-2.53

Values from the calculation:
space-group type: Cm
total magnetic moment: 0.00 μB per atom

=====

Q) The following is a PBE calculation of an optimized crystal structure of TaIr2Cl, from Alexandria via LeMat-Bulk.

Cell lengths 4.4765, 4.4765, 4.4765 Å; angles 60.00, 60.00, 60.00 degrees
With the nearest neighbours (Å) after each atom.
Atoms (fractional coordinates):
Cl  0.5000  0.5000  0.5000  4 Ta 2.74, 4 Ir 2.74
Ir  0.0000  0.0000  0.0000  4 Ir 2.74, 4 Ta 2.74
Ir  0.2500  0.2500  0.2500  4 Cl 2.74, 4 Ir 2.74
Ta  0.7500  0.7500  0.7500  4 Ir 2.74, 4 Cl 2.74

Values from the calculation:
space-group type: F-43m
total magnetic moment: 0.00 μB per atom

=====

The structure with the most favorable energy is P); the runner-up is 416 meV/atom above it.

=====

P) The following is a PBE calculation of an optimized crystal structure of AcCePr2, from Alexandria via LeMat-Bulk.

Cell lengths 3.6465, 3.6465, 13.0922 Å; angles 81.99, 81.99, 60.00 degrees
With the nearest neighbours (Å) after each atom.
Atoms (fractional coordinates):
Pr  0.0866  0.0866  0.7402  1 Ce 3.36, 6 Pr 3.65, 3 Ac 3.75
Pr  0.9134  0.9134  0.2598  1 Ce 3.36, 6 Pr 3.65, 3 Ac 3.75
Ac  0.5000  0.5000  0.5000  6 Ac 3.65, 6 Pr 3.75
Ce  0.0000  0.0000  0.0000  2 Pr 3.36, 6 Ce 3.65

Values from the calculation:
space-group type: R-3m
total magnetic moment: 0.33 μB per atom

=====

Q) The following is a PBE calculation of an optimized crystal structure of AcCePr2, from Alexandria via LeMat-Bulk.

Cell lengths 3.7579, 3.7579, 12.3052 Å; angles 81.22, 81.22, 60.00 degrees
With the nearest neighbours (Å) after each atom.
Atoms (fractional coordinates):
Ac  0.6668  0.6668  0.9996  6 Ac 3.76, 6 Pr 3.82-3.84
Ce  0.5003  0.5003  0.4991  6 Pr 3.61-3.64, 6 Ce 3.76
Pr  0.0865  0.0865  0.7404  3 Ce 3.64, 6 Pr 3.76, 3 Ac 3.82
Pr  0.2464  0.2464  0.2609  3 Ce 3.61, 6 Pr 3.76, 3 Ac 3.84

Values from the calculation:
space-group type: R3m
total magnetic moment: 0.29 μB per atom

=====

The structure with the most favorable energy is Q); the runner-up is 155 meV/atom above it.

=====

P) The following is a PBE calculation of an optimized crystal structure of Zr2TaCl, from Alexandria via LeMat-Bulk.

Cell lengths 5.1592, 5.1592, 5.1592 Å; angles 128.47, 128.47, 75.87 degrees
With the nearest neighbours (Å) after each atom.
Atoms (fractional coordinates):
Cl  0.2500  0.7500  0.5000  8 Zr 3.03, 4 Ta 3.17
Ta  0.7500  0.2500  0.5000  8 Zr 3.03, 4 Cl 3.17
Zr  0.0000  0.0000  0.0000  4 Ta 3.03, 4 Cl 3.03, 4 Zr 3.17
Zr  0.5000  0.5000  0.0000  4 Cl 3.03, 4 Ta 3.03, 4 Zr 3.17

Values from the calculation:
space-group type: I4/mmm
total magnetic moment: 0.00 μB per atom

=====

Q) The following is a PBE calculation of an optimized crystal structure of Zr2TaCl, from Alexandria via LeMat-Bulk.

Cell lengths 5.1764, 3.1057, 5.5344 Å; angles 73.89, 90.00, 90.00 degrees
With the nearest neighbours (Å) after each atom.
Atoms (fractional coordinates):
Cl  0.0000  0.3963  0.3340  4 Zr 2.61-2.67
Ta  0.5000  0.6410  0.8440  7 Zr 2.84-3.05, 2 Ta 3.11
Zr  0.0000  0.1000  0.9256  2 Cl 2.67
Zr  0.5000  0.3627  0.3964  2 Cl 2.61, 2 Ta 2.84

Values from the calculation:
space-group type: Pm
total magnetic moment: 0.00 μB per atom

=====

The structure with the most favorable energy is Q); the runner-up is 446 meV/atom above it.

=====

P) The following is a PBE calculation of an optimized crystal structure of Cd2AuBr, from Alexandria via LeMat-Bulk.

Cell lengths 8.3014, 8.3014, 3.6053 Å; angles 90.15, 90.15, 24.73 degrees
With the nearest neighbours (Å) after each atom.
Atoms (fractional coordinates):
Au  0.4497  0.4497  0.6203  6 Cd 2.82-2.85
Br  0.2052  0.2052  0.1223  5 Cd 2.83-3.12
Cd  0.0304  0.0304  0.1220  1 Br 2.83, 4 Au 2.85
Cd  0.8147  0.8147  0.6354  2 Au 2.82, 4 Br 3.07-3.12

Values from the calculation:
space-group type: Cm
total magnetic moment: 0.00 μB per atom

=====

Q) The following is a PBE calculation of an optimized crystal structure of Cd2AuBr, from Alexandria via LeMat-Bulk.

Cell lengths 3.1450, 5.3898, 5.3898 Å; angles 90.00, 90.00, 90.00 degrees
With the nearest neighbours (Å) after each atom.
Atoms (fractional coordinates):
Au  0.5000  0.5000  0.0000  8 Cd 3.12, 2 Au 3.14
Br  0.5000  0.0000  0.5000  8 Cd 3.12, 2 Br 3.14
Cd  0.0000  0.0000  0.0000  4 Br 3.12, 4 Au 3.12, 2 Cd 3.14
Cd  0.0000  0.5000  0.5000  4 Br 3.12, 4 Au 3.12, 2 Cd 3.14

Values from the calculation:
space-group type: P4/mmm
total magnetic moment: 0.00 μB per atom

=====

The structure with the most favorable energy is P); the runner-up is 168 meV/atom above it.

=====

P) The following is a PBE calculation of an optimized crystal structure of CaRe2Tc, from Alexandria via LeMat-Bulk.

Cell lengths 2.7410, 2.7410, 9.5153 Å; angles 90.00, 90.00, 109.53 degrees
With the nearest neighbours (Å) after each atom.
Atoms (fractional coordinates):
Re  0.0000  0.0000  0.0249  2 Tc 2.66, 4 Re 2.74
Re  0.0000  0.0000  0.4751  2 Tc 2.66, 4 Re 2.74
Ca  0.5000  0.5000  0.7500  4 Ca 2.74, 4 Re 3.06
Tc  0.5000  0.5000  0.2500  4 Re 2.66, 4 Tc 2.74

Values from the calculation:
space-group type: Cmmm
total magnetic moment: 0.00 μB per atom

=====

Q) The following is a PBE calculation of an optimized crystal structure of CaRe2Tc, from Alexandria via LeMat-Bulk.

Cell lengths 5.3250, 5.3250, 5.3250 Å; angles 137.76, 137.76, 61.27 degrees
With the nearest neighbours (Å) after each atom.
Atoms (fractional coordinates):
Re  0.0000  0.0000  0.0000  4 Re 2.71, 4 Tc 2.99, 4 Ca 2.99
Re  0.5000  0.5000  0.0000  4 Re 2.71, 4 Tc 2.99, 4 Ca 2.99
Ca  0.7500  0.2500  0.5000  4 Tc 2.71, 8 Re 2.99
Tc  0.2500  0.7500  0.5000  4 Ca 2.71, 8 Re 2.99

Values from the calculation:
space-group type: I4/mmm
total magnetic moment: 0.00 μB per atom

=====

The structure with the most favorable energy is P); the runner-up is 294 meV/atom above it.